Record 1
This record from Alexandria describes InRe2Si2 after structural relaxation. The functional is GGA-PBE. Values from VASP.

Results
Space group: P4/mbm, No. 127
Uncorrected formation energy (eV per atom): 0.122

Cell and atoms, written as Quantum ESPRESSO input:
```
&SYSTEM
  ibrav = 0, nat = 10, ntyp = 3
/
ATOMIC_SPECIES
Si 28.09 Si.upf
Re 186.21 Re.upf
In 114.82 In.upf
CELL_PARAMETERS angstrom
7.198 0.000 0.000
0.000 7.198 0.000
0.000 0.000 3.012
ATOMIC_POSITIONS crystal
Si 0.356 0.144 0.500
Si 0.644 0.856 0.500
Re 0.853 0.647 0.000
In 0.500 0.500 0.000
Re 0.353 0.853 0.000
Re 0.647 0.147 0.000
In 0.000 0.000 0.000
Si 0.144 0.644 0.500
Si 0.856 0.356 0.500
Re 0.147 0.353 0.000
```

---

Record 2
This record from Alexandria describes InRe3Si after structural relaxation. The functional is GGA-PBE. Values from VASP.

Results
Space group: Pm-3m, No. 221
Uncorrected formation energy (eV per atom): 1.124
Energy above the most stable polymorph in this dataset (meV/atom): 0.0

Cell and atoms, written as Quantum ESPRESSO input:
```
&SYSTEM
  ibrav = 0, nat = 5, ntyp = 3
/
ATOMIC_SPECIES
Re 186.21 Re.upf
Si 28.09 Si.upf
In 114.82 In.upf
CELL_PARAMETERS angstrom
-3.261 0.174 3.039
0.069 -4.448 0.329
3.044 0.288 3.249
ATOMIC_POSITIONS crystal
Re 0.000 0.000 0.500
Re 0.500 0.000 0.000
Si 0.000 0.000 0.000
Re 0.000 0.500 0.000
In 0.500 0.500 0.500
```

---

What did the second record say?
This record from Alexandria describes InRe3Si after structural relaxation. The functional is GGA-PBE. Values from VASP.

Results
Space group: Pm-3m, No. 221
Uncorrected formation energy (eV per atom): 1.124
Energy above the most stable polymorph in this dataset (meV/atom): 0.0

Cell and atoms, written as Quantum ESPRESSO input:
```
&SYSTEM
  ibrav = 0, nat = 5, ntyp = 3
/
ATOMIC_SPECIES
Re 186.21 Re.upf
Si 28.09 Si.upf
In 114.82 In.upf
CELL_PARAMETERS angstrom
-3.261 0.174 3.039
0.069 -4.448 0.329
3.044 0.288 3.249
ATOMIC_POSITIONS crystal
Re 0.000 0.000 0.500
Re 0.500 0.000 0.000
Si 0.000 0.000 0.000
Re 0.000 0.500 0.000
In 0.500 0.500 0.500
```

---

Look up the uncorrected formation energy of the second one.
1.124 eV per atom

---

Look up the uncorrected formation energy of the first one.
0.122 eV per atom